Entry from Alexandria: KIr2Cl after structural relaxation (PBE).

**DOS(E_F)**: 11.66 states/eV/cell
**Polymorph energy (0 for the lowest one)**: 35.59 kJ per mole of atoms
**Formation energy (no corrections)**: 0.42 eV/atom

Unit cell a=2.7723 b=4.5187 c=14.2100 alpha=90.00 beta=90.00 gamma=90.00
Closest atoms and distances in Å follow each position.
Space group Immm (No. 71)
One atom of each set of equivalent atoms:
K1 0.0000 0.0000 0.0000 (multiplicity 2)  4 Cl 2.65, 2 K 2.77
Ir1 0.0000 0.5000 0.2339 (multiplicity 4)  6 Ir 2.69-2.77
Cl1 0.0000 0.0000 0.5000 (multiplicity 2)  4 K 2.65, 2 Cl 2.77



Entry from Alexandria: YHg2As after structural relaxation (PBE).

**DOS(E_F)**: 1.06 states/eV/cell
**Energy of formation from the pure elements**: -465 meV per atom

Unit cell a=3.9708 b=3.9708 c=6.4345 alpha=90.00 beta=90.00 gamma=90.00
Closest atoms and distances in Å follow each position.
Space group P4mm (No. 99)
One atom of each set of equivalent atoms:
Y1 0.0000 0.0000 0.0000 (multiplicity 1)  4 As 2.92, 1 Hg 3.12
Hg1 0.0000 0.0000 0.4848 (multiplicity 1)  4 Hg 3.04, 2 Y 3.12-3.31
Hg2 0.5000 0.5000 0.6649 (multiplicity 1)  1 As 2.94, 4 Hg 3.04
As1 0.5000 0.5000 0.1220 (multiplicity 1)  4 Y 2.92, 1 Hg 2.94



Entry from Alexandria: BC3 after structural relaxation (PBE).

**DOS(E_F)**: 2.49 states/eV/cell
**Polymorph energy (0 for the lowest one)**: 6.24 kJ per mole of atoms
**Energy of formation from the pure elements**: 305 meV per atom

Unit cell a=11.5407 b=2.5251 c=5.2458 alpha=90.00 beta=104.22 gamma=90.00
Closest atoms and distances in Å follow each position.
Space group Cm (No. 8)
One atom of each set of equivalent atoms:
B1 0.0000 0.0000 0.0000 (multiplicity 2)  2 C 1.59-1.62, 2 B 1.77
B2 0.1112 0.5000 0.0460 (multiplicity 2)  2 C 1.58-1.59
B3 0.2594 0.0000 0.3692 (multiplicity 2)  4 C 1.61-1.70
C1 0.0096 0.0000 0.5024 (multiplicity 2)  4 C 1.57-1.58
C2 0.0935 0.5000 0.5451 (multiplicity 2)  4 C 1.52-1.59
C3 0.1714 0.5000 0.3508 (multiplicity 2)  1 C 1.52, 3 B 1.58-1.61
C4 0.1852 0.5000 0.8270 (multiplicity 2)  3 C 1.55-1.59, 1 B 1.59
C5 0.2656 0.0000 0.8680 (multiplicity 2)  4 C 1.55-1.61
C6 0.3455 0.0000 0.1663 (multiplicity 2)  3 C 1.54-1.61, 1 B 1.62
C7 0.3508 0.0000 0.6771 (multiplicity 2)  3 C 1.52-1.57, 1 B 1.70
C8 0.4244 0.5000 0.2155 (multiplicity 2)  3 C 1.54-1.58, 1 B 1.59
C9 0.4252 0.5000 0.6956 (multiplicity 2)  3 C 1.52-1.57, 1 B 1.62



DOS(E_F) of number 3 (BC3)? 2.49 states/eV/cell



Please write out number 1 again, unchanged.
Entry from Alexandria: KIr2Cl after structural relaxation (PBE).

**DOS(E_F)**: 11.66 states/eV/cell
**Polymorph energy (0 for the lowest one)**: 35.59 kJ per mole of atoms
**Formation energy (no corrections)**: 0.42 eV/atom

Unit cell a=2.7723 b=4.5187 c=14.2100 alpha=90.00 beta=90.00 gamma=90.00
Closest atoms and distances in Å follow each position.
Space group Immm (No. 71)
One atom of each set of equivalent atoms:
K1 0.0000 0.0000 0.0000 (multiplicity 2)  4 Cl 2.65, 2 K 2.77
Ir1 0.0000 0.5000 0.2339 (multiplicity 4)  6 Ir 2.69-2.77
Cl1 0.0000 0.0000 0.5000 (multiplicity 2)  4 K 2.65, 2 Cl 2.77